No. 1
4
Lattice="2.1620 0.0000 10.5715 -1.0810 1.8723 10.5715 -1.0810 -1.8723 10.5715" Properties=species:S:1:pos:R:3 comment="GaBr3, optimized geometry, DFT GGA-PBE" dft_energy_ev_per_atom=-2.211 dos_ef_per_ev_atom=0.981 vol_a3_per_atom=32.09 space_group="R-3m, No. 166" crystal_system=trigonal pbc="T T T"
Ga 0.0000 0.0000 15.8573
Br 0.0000 0.0000 0.0000
Br 0.0000 0.0000 28.0797
Br 0.0000 0.0000 3.6348

***

No. 2
4
Lattice="-1.3067 3.0654 -3.3441 -4.5427 0.3506 -1.2358 -2.4722 3.8500 1.1629" Properties=species:S:1:pos:R:3 comment="HfURe2, optimized geometry, DFT GGA-PBE" dos_ef_per_ev_atom=2.097 vol_a3_per_atom=18.60 space_group="Fm-3m, No. 225" delta_e_f_ev_per_atom=-0.01 crystal_system=cubic polymorph_energy_mev_per_atom=98.4 pbc="T T T"
Re -2.0804 1.8165 -0.8543
Re -6.2412 5.4495 -2.5628
Hf -4.1608 3.6330 -1.7085
U 0.0000 0.0000 0.0000

***

What did the second record say?
4
Lattice="-1.3067 3.0654 -3.3441 -4.5427 0.3506 -1.2358 -2.4722 3.8500 1.1629" Properties=species:S:1:pos:R:3 comment="HfURe2, optimized geometry, DFT GGA-PBE" dos_ef_per_ev_atom=2.097 vol_a3_per_atom=18.60 space_group="Fm-3m, No. 225" delta_e_f_ev_per_atom=-0.01 crystal_system=cubic polymorph_energy_mev_per_atom=98.4 pbc="T T T"
Re -2.0804 1.8165 -0.8543
Re -6.2412 5.4495 -2.5628
Hf -4.1608 3.6330 -1.7085
U 0.0000 0.0000 0.0000

***

Question: What is the formula in the second record?
Answer: HfURe2